VASP calculation (PBE-GGA) on a relaxed La2Nd4In crystal.

Properties
* ΔE to the lowest computed polymorph: 0.0000 eV/atom
* total moment: 0.00 μB/f.u.
* symmetry: No. 66
* formation energy: 0.039 eV/atom
* Fermi-level density of states: 20.82 states/eV per cell

abc: 6.930 6.930 10.625
angles: 90.00 90.00 103.81
Positions (direct):
Nd 0.804 0.803 0.000
Nd 0.196 0.197 0.000
Nd 0.000 0.500 0.250
Nd 0.000 0.500 0.750
Nd 0.500 0.000 0.750
Nd 0.803 0.804 0.500
Nd 0.500 0.000 0.250
Nd 0.197 0.196 0.500
La 0.303 0.696 0.500
La 0.304 0.697 0.000
La 0.697 0.304 0.500
La 0.696 0.303 0.000
In 0.500 0.500 0.750
In 0.500 0.500 0.250

VASP calculation (PBE-GGA) on a relaxed MgAgO2 crystal.

Properties
* VASP energy: -4.70 eV per atom
* total moment: 0.00 μB/f.u.
* symmetry: No. 160
* Fermi-level density of states: 2.22 states/eV per cell

abc: 3.094 3.094 5.911
angles: 74.83 74.83 60.00
Positions (direct):
O 0.099 0.099 0.704
O 0.235 0.235 0.295
Mg 0.499 0.499 0.504
Ag 0.668 0.668 0.997

Question: Number 1 is which compound?
Answer: La2Nd4In

Question: total moment of number 1 (La2Nd4In)?
Answer: 0.00 μB/f.u.